1.
First-principles (PBE) data for a relaxed Re2SbPb crystal, as listed in Alexandria via LeMat-Bulk.

Unit cell a=3.276 b=4.432 c=5.371 alpha=90.00 beta=90.00 gamma=90.00
Space group Pmmm (No. 47)
Symmetry-distinct sites (fractional):
1 Re 0.000 0.000 0.000
2 Re 0.500 0.000 0.500
3 Sb 0.000 0.500 0.500
4 Pb 0.500 0.500 0.000

Computed properties:
* size of the total moment: 0.0 μB/cell
* energy relative to the elements, uncorrected: 1.217 eV/atom
* E: -27.9 eV per cell
* E above lowest polymorph: 85.8 kJ per mole of atoms

---

2.
First-principles (PBE) data for a relaxed Zr4Al2H crystal, as listed in Alexandria via LeMat-Bulk.

Unit cell a=4.084 b=4.084 c=15.734 alpha=90.00 beta=90.00 gamma=90.00
Space group I4/mmm (No. 139)
Symmetry-distinct sites (fractional):
1 Zr 0.000 0.000 0.180
2 Zr 0.000 0.500 0.000
3 Al 0.000 0.000 0.363
4 H 0.000 0.000 0.000

Computed properties:
* size of the total moment: 0.0 μB/cell
* E: -94.2 eV per cell
* E above lowest polymorph: 0.0 kJ per mole of atoms